No. 1
## GeSbAu3 (GGA-PBE)

Data for an optimized crystal structure of GeSbAu3.

Summary:
Its raw formation energy is 649.3 meV/atom.

abc: 5.203 5.203 5.203
angles: 90.00 90.00 90.00
Space group Pm-3m (No. 221)
Symmetry-distinct sites (fractional):
1 Ge 0.000 0.000 0.000 x1
2 Sb 0.500 0.500 0.500 x1
3 Au 0.000 0.500 0.500 x3

***

No. 2
## NdSmAl4 (GGA-PBE)

Data for an optimized crystal structure of NdSmAl4.

Summary:
The formation energy from the elements is -502 meV per atom.

abc: 8.011 8.011 8.011
angles: 90.00 90.00 90.00
Space group F-43m (No. 216)
Symmetry-distinct sites (fractional):
1 Nd 0.000 0.000 0.000 x4
2 Sm 0.250 0.250 0.750 x4
3 Al 0.125 0.125 0.375 x16